Model 1:
Density functional theory data (PBE) for an optimized crystal structure of PmEr2Lu.

Calculated values
magnetization: 0.000 μB/atom

```
data_PmEr2Lu
_cell_length_a 5.0085
_cell_length_b 4.9826
_cell_length_c 4.9826
_cell_angle_alpha 90.00
_cell_angle_beta 90.00
_cell_angle_gamma 90.00
_space_group_name_H-M_alt 'P 1'
_space_group_IT_number 1
loop_
_space_group_symop_operation_xyz
'x,y,z'
loop_
_atom_site_label
_atom_site_type_symbol
_atom_site_fract_x
_atom_site_fract_y
_atom_site_fract_z
Lu1 Lu 0.5000 0.5000 0.5000
Pm1 Pm 0.5000 0.0000 0.0000
Er1 Er 0.0000 0.0000 0.5000
Er2 Er 0.0000 0.5000 0.0000
```


Model 2:
Density functional theory data (PBE) for an optimized crystal structure of PmEr2Lu.

Calculated values
magnetization: 0.000 μB/atom

```
data_PmEr2Lu
_cell_length_a 5.6292
_cell_length_b 5.6292
_cell_length_c 5.6292
_cell_angle_alpha 60.00
_cell_angle_beta 60.00
_cell_angle_gamma 60.00
_space_group_name_H-M_alt 'P 1'
_space_group_IT_number 1
loop_
_space_group_symop_operation_xyz
'x,y,z'
loop_
_atom_site_label
_atom_site_type_symbol
_atom_site_fract_x
_atom_site_fract_y
_atom_site_fract_z
Er1 Er 0.7500 0.7500 0.7500
Er2 Er 0.2500 0.2500 0.2500
Pm1 Pm 0.0000 0.0000 0.0000
Lu1 Lu 0.5000 0.5000 0.5000
```


Model 3:
Density functional theory data (PBE) for an optimized crystal structure of PmEr2Lu.

Calculated values
magnetization: 0.000 μB/atom

```
data_PmEr2Lu
_cell_length_a 3.4415
_cell_length_b 3.4415
_cell_length_c 12.4501
_cell_angle_alpha 82.06
_cell_angle_beta 82.06
_cell_angle_gamma 60.00
_space_group_name_H-M_alt 'P 1'
_space_group_IT_number 1
loop_
_space_group_symop_operation_xyz
'x,y,z'
loop_
_atom_site_label
_atom_site_type_symbol
_atom_site_fract_x
_atom_site_fract_y
_atom_site_fract_z
Pm1 Pm 0.0000 0.0000 0.0000
Lu1 Lu 0.5000 0.5000 0.5000
Er1 Er 0.9086 0.9086 0.2742
Er2 Er 0.0914 0.0914 0.7258
```


Relative stability in meV per atom, measured from the most stable structure: model 1 0; model 2 113; model 3 143


Model 1:
Density functional theory data (PBE) for an optimized crystal structure of Pm2ErLu.

Calculated values
magnetization: 0.000 μB/atom

```
data_Pm2ErLu
_cell_length_a 3.5728
_cell_length_b 3.5728
_cell_length_c 11.7071
_cell_angle_alpha 81.22
_cell_angle_beta 81.22
_cell_angle_gamma 60.00
_space_group_name_H-M_alt 'P 1'
_space_group_IT_number 1
loop_
_space_group_symop_operation_xyz
'x,y,z'
loop_
_atom_site_label
_atom_site_type_symbol
_atom_site_fract_x
_atom_site_fract_y
_atom_site_fract_z
Pm1 Pm 0.7505 0.7505 0.7485
Er1 Er 0.0000 0.0000 0.0000
Pm2 Pm 0.2495 0.2495 0.2515
Lu1 Lu 0.5000 0.5000 0.5000
```


Model 2:
Density functional theory data (PBE) for an optimized crystal structure of Pm2ErLu.

Calculated values
magnetization: 0.000 μB/atom

```
data_Pm2ErLu
_cell_length_a 5.6799
_cell_length_b 5.6799
_cell_length_c 5.6799
_cell_angle_alpha 60.00
_cell_angle_beta 60.00
_cell_angle_gamma 60.00
_space_group_name_H-M_alt 'P 1'
_space_group_IT_number 1
loop_
_space_group_symop_operation_xyz
'x,y,z'
loop_
_atom_site_label
_atom_site_type_symbol
_atom_site_fract_x
_atom_site_fract_y
_atom_site_fract_z
Pm1 Pm 0.7500 0.7500 0.7500
Er1 Er 0.0000 0.0000 0.0000
Pm2 Pm 0.2500 0.2500 0.2500
Lu1 Lu 0.5000 0.5000 0.5000
```


Relative stability in meV per atom, measured from the most stable structure: model 1 0; model 2 79


Model 1:
Density functional theory data (PBE) for an optimized crystal structure of PmErLu.

Calculated values
magnetization: 0.000 μB/atom

```
data_PmErLu
_cell_length_a 3.4350
_cell_length_b 5.6168
_cell_length_c 5.6168
_cell_angle_alpha 120.00
_cell_angle_beta 90.00
_cell_angle_gamma 90.00
_space_group_name_H-M_alt 'P 1'
_space_group_IT_number 1
loop_
_space_group_symop_operation_xyz
'x,y,z'
loop_
_atom_site_label
_atom_site_type_symbol
_atom_site_fract_x
_atom_site_fract_y
_atom_site_fract_z
Pm1 Pm 0.6668 0.6667 0.3333
Er1 Er 0.1662 0.3333 0.6667
Lu1 Lu 0.1670 0.0000 0.0000
```


Model 2:
Density functional theory data (PBE) for an optimized crystal structure of PmErLu.

Calculated values
magnetization: 0.000 μB/atom

```
data_PmErLu
_cell_length_a 3.5376
_cell_length_b 3.5376
_cell_length_c 7.9297
_cell_angle_alpha 102.89
_cell_angle_beta 102.89
_cell_angle_gamma 90.00
_space_group_name_H-M_alt 'P 1'
_space_group_IT_number 1
loop_
_space_group_symop_operation_xyz
'x,y,z'
loop_
_atom_site_label
_atom_site_type_symbol
_atom_site_fract_x
_atom_site_fract_y
_atom_site_fract_z
Er1 Er 0.0023 0.0023 0.0046
Pm1 Pm 0.3328 0.3328 0.6656
Lu1 Lu 0.6649 0.6649 0.3298
```


Relative stability in meV per atom, measured from the most stable structure: model 1 53; model 2 0


Model 1:
Density functional theory data (PBE) for an optimized crystal structure of PrErLu.

Calculated values
magnetization: 0.000 μB/atom

```
data_PrErLu
_cell_length_a 3.4666
_cell_length_b 5.6519
_cell_length_c 5.6519
_cell_angle_alpha 120.00
_cell_angle_beta 90.00
_cell_angle_gamma 90.00
_space_group_name_H-M_alt 'P 1'
_space_group_IT_number 1
loop_
_space_group_symop_operation_xyz
'x,y,z'
loop_
_atom_site_label
_atom_site_type_symbol
_atom_site_fract_x
_atom_site_fract_y
_atom_site_fract_z
Pr1 Pr 0.6667 0.6667 0.3333
Er1 Er 0.1680 0.3333 0.6667
Lu1 Lu 0.1653 0.0000 0.0000
```


Model 2:
Density functional theory data (PBE) for an optimized crystal structure of PrErLu.

Calculated values
magnetization: 0.000 μB/atom

```
data_PrErLu
_cell_length_a 3.5629
_cell_length_b 3.5629
_cell_length_c 7.9713
_cell_angle_alpha 102.91
_cell_angle_beta 102.91
_cell_angle_gamma 90.00
_space_group_name_H-M_alt 'P 1'
_space_group_IT_number 1
loop_
_space_group_symop_operation_xyz
'x,y,z'
loop_
_atom_site_label
_atom_site_type_symbol
_atom_site_fract_x
_atom_site_fract_y
_atom_site_fract_z
Er1 Er 0.3301 0.3301 0.6603
Lu1 Lu 0.6693 0.6693 0.3386
Pr1 Pr 0.0006 0.0006 0.0011
```


Relative stability in meV per atom, measured from the most stable structure: model 1 52; model 2 0